Compound: La5Ru3
Source: the Alexandria database
Functional: PBE-GGA
Structure: optimized geometry

POSCAR file:
```
La5Ru3
1.0
3.884 -5.980 0.000
3.884 5.980 0.000
0.000 0.000 4.481
La Ru
5 3
Direct
0.290 0.290 0.500
0.000 0.000 0.000
0.500 0.000 0.000
0.000 0.500 0.000
0.710 0.710 0.500
0.500 0.500 0.000
0.186 0.814 0.500
0.814 0.186 0.500
```

Values from the calculation:
- SG = Cmmm
- formation energy from the elements (eV/atom) = -0.06
- total magnetic moment (μB per formula unit) = 0.0
- excess energy over the best structure of this formula in the dataset (meV per atom) = 205